The following is a DFT calculation (PBE) of a relaxed LiMo2WAu crystal.

abc: 4.9044 4.9044 3.9260
angles: 90.00 90.00 90.00
Fractional coordinates of all 5 atoms:
Li (0.0000, 0.0000, 0.0000)
Mo (0.0000, 0.5000, 0.5000)
Mo (0.5000, 0.0000, 0.5000)
W (0.5000, 0.5000, 0.0000)
Au (0.0000, 0.0000, 0.5000)

Results
Fermi-level density of states ... 5.323 states/eV per cell
Energy of formation from the pure elements ... 1.775 eV per atom


The following is a DFT calculation (PBE) of a relaxed Sr3Cd5H12 crystal.

abc: 11.4280 11.4280 11.4280
angles: 109.47 109.47 109.47
Fractional coordinates of all 80 atoms:
Sr (0.1250, 0.2500, 0.3750)
Sr (0.1250, 0.3750, 0.7500)
Sr (0.2500, 0.3750, 0.1250)
Sr (0.2500, 0.8750, 0.6250)
Sr (0.3750, 0.1250, 0.2500)
Sr (0.3750, 0.7500, 0.1250)
Sr (0.6250, 0.2500, 0.8750)
Sr (0.6250, 0.8750, 0.7500)
Sr (0.7500, 0.1250, 0.3750)
Sr (0.7500, 0.6250, 0.8750)
Sr (0.8750, 0.6250, 0.2500)
Sr (0.8750, 0.7500, 0.6250)
Cd (0.0000, 0.0000, 0.0000)
Cd (0.0000, 0.0000, 0.5000)
Cd (0.0000, 0.5000, 0.0000)
Cd (0.0000, 0.5000, 0.5000)
Cd (0.1250, 0.7500, 0.8750)
Cd (0.1250, 0.8750, 0.2500)
Cd (0.2500, 0.1250, 0.8750)
Cd (0.2500, 0.6250, 0.3750)
Cd (0.3750, 0.2500, 0.6250)
Cd (0.3750, 0.6250, 0.7500)
Cd (0.5000, 0.0000, 0.0000)
Cd (0.5000, 0.0000, 0.5000)
Cd (0.5000, 0.5000, 0.0000)
Cd (0.5000, 0.5000, 0.5000)
Cd (0.6250, 0.3750, 0.2500)
Cd (0.6250, 0.7500, 0.3750)
Cd (0.7500, 0.3750, 0.6250)
Cd (0.7500, 0.8750, 0.1250)
Cd (0.8750, 0.1250, 0.7500)
Cd (0.8750, 0.2500, 0.1250)
H (0.0314, 0.2213, 0.1274)
H (0.0314, 0.3101, 0.9040)
H (0.0939, 0.7213, 0.6899)
H (0.0939, 0.8726, 0.4040)
H (0.0960, 0.6274, 0.4061)
H (0.0960, 0.9686, 0.6899)
H (0.1274, 0.0314, 0.2213)
H (0.1274, 0.5960, 0.9061)
H (0.1899, 0.2213, 0.5939)
H (0.1899, 0.4686, 0.5960)
H (0.2213, 0.1274, 0.0314)
H (0.2213, 0.5939, 0.1899)
H (0.2787, 0.3101, 0.9061)
H (0.2787, 0.4686, 0.3726)
H (0.3101, 0.9040, 0.0314)
H (0.3101, 0.9061, 0.2787)
H (0.3726, 0.2787, 0.4686)
H (0.3726, 0.5939, 0.9040)
H (0.4040, 0.0939, 0.8726)
H (0.4040, 0.8101, 0.5314)
H (0.4061, 0.0960, 0.6274)
H (0.4061, 0.8101, 0.7787)
H (0.4686, 0.3726, 0.2787)
H (0.4686, 0.5960, 0.1899)
H (0.5314, 0.4040, 0.8101)
H (0.5314, 0.6274, 0.7213)
H (0.5939, 0.1899, 0.2213)
H (0.5939, 0.9040, 0.3726)
H (0.5960, 0.1899, 0.4686)
H (0.5960, 0.9061, 0.1274)
H (0.6274, 0.4061, 0.0960)
H (0.6274, 0.7213, 0.5314)
H (0.6899, 0.0939, 0.7213)
H (0.6899, 0.0960, 0.9686)
H (0.7213, 0.5314, 0.6274)
H (0.7213, 0.6899, 0.0939)
H (0.7787, 0.4061, 0.8101)
H (0.7787, 0.8726, 0.9686)
H (0.8101, 0.5314, 0.4040)
H (0.8101, 0.7787, 0.4061)
H (0.8726, 0.4040, 0.0939)
H (0.8726, 0.9686, 0.7787)
H (0.9040, 0.0314, 0.3101)
H (0.9040, 0.3726, 0.5939)
H (0.9061, 0.1274, 0.5960)
H (0.9061, 0.2787, 0.3101)
H (0.9686, 0.6899, 0.0960)
H (0.9686, 0.7787, 0.8726)

Results
Fermi-level density of states ... 7.136 states/eV per cell


The following is a DFT calculation (PBE) of a relaxed Y2IrI crystal.

abc: 4.1558 4.1558 8.2128
angles: 97.58 97.58 60.28
Fractional coordinates of all 4 atoms:
Y (0.0000, 0.0000, 0.0000)
Y (0.7249, 0.7249, 0.3446)
Ir (0.3607, 0.3607, 0.1671)
I (0.1093, 0.1093, 0.6296)

Results
Distance to the lowest polymorph of the same formula ... 0.019 eV/atom
Fermi-level density of states ... 0.576 states/eV per cell
Energy relative to the elements, uncorrected ... -0.926 eV/atom


The following is a DFT calculation (PBE) of a relaxed ZrTaIn2 crystal.

abc: 6.2852 6.2852 6.2852
angles: 103.00 103.00 123.37
Fractional coordinates of all 8 atoms:
Zr (0.0000, 0.0000, 0.0000)
Zr (0.7500, 0.2500, 0.5000)
Ta (0.2500, 0.7500, 0.5000)
Ta (0.5000, 0.5000, 0.0000)
In (0.1349, 0.6250, 0.0099)
In (0.3750, 0.3849, 0.5099)
In (0.6151, 0.1250, 0.9901)
In (0.8750, 0.8651, 0.4901)

Results
Distance to the lowest polymorph of the same formula ... 0.402 eV/atom
Fermi-level density of states ... 4.125 states/eV per cell
Energy of formation from the pure elements ... 0.372 eV per atom


The following is a DFT calculation (PBE) of a relaxed ScTaPO2 crystal.

abc: 3.8696 3.8696 5.1899
angles: 90.00 90.00 90.00
Fractional coordinates of all 5 atoms:
Sc (0.0000, 0.0000, 0.0000)
Ta (0.5000, 0.5000, 0.5000)
P (0.0000, 0.0000, 0.5000)
O (0.0000, 0.5000, 0.0000)
O (0.5000, 0.0000, 0.0000)

Results
Distance to the lowest polymorph of the same formula ... 0.944 eV/atom
Fermi-level density of states ... 3.293 states/eV per cell
Energy relative to the elements, uncorrected ... -0.898 eV/atom


The following is a DFT calculation (PBE) of a relaxed Sm3MgC2N6 crystal.

abc: 5.2962 5.2962 6.3833
angles: 90.00 90.00 120.00
Fractional coordinates of all 12 atoms:
Sm (0.0000, 0.0000, 0.0000)
Sm (0.3333, 0.6667, 0.6691)
Sm (0.6667, 0.3333, 0.3309)
Mg (0.0000, 0.0000, 0.5000)
C (0.3333, 0.6667, 0.2765)
C (0.6667, 0.3333, 0.7235)
N (0.1846, 0.3691, 0.2852)
N (0.1846, 0.8154, 0.2852)
N (0.3691, 0.1846, 0.7148)
N (0.6309, 0.8154, 0.2852)
N (0.8154, 0.1846, 0.7148)
N (0.8154, 0.6309, 0.7148)

Results
Fermi-level density of states ... 2.516 states/eV per cell
Energy relative to the elements, uncorrected ... -0.776 eV/atom


The following is a DFT calculation (PBE) of a relaxed CsZnTc2O8 crystal.

abc: 5.5438 5.5438 8.6462
angles: 90.00 90.00 120.00
Fractional coordinates of all 12 atoms:
Cs (0.0000, 0.0000, 0.0000)
Zn (0.0000, 0.0000, 0.5000)
Tc (0.3333, 0.6667, 0.7072)
Tc (0.6667, 0.3333, 0.2928)
O (0.0715, 0.3335, 0.6442)
O (0.2620, 0.9285, 0.6442)
O (0.3335, 0.2620, 0.3558)
O (0.3333, 0.6667, 0.9097)
O (0.6667, 0.3333, 0.0903)
O (0.6665, 0.7380, 0.6442)
O (0.7380, 0.0715, 0.3558)
O (0.9285, 0.6665, 0.3558)

Results
Fermi-level density of states ... 6.707 states/eV per cell
Energy relative to the elements, uncorrected ... -1.488 eV/atom


The following is a DFT calculation (PBE) of a relaxed Pm8Sm6Sc crystal.

abc: 9.9886 9.9886 5.9366
angles: 90.00 90.00 120.00
Fractional coordinates of all 15 atoms:
Pm (0.0518, 0.2714, 0.2670)
Pm (0.2197, 0.9482, 0.2670)
Pm (0.2714, 0.2197, 0.7330)
Pm (0.3333, 0.6667, 0.2706)
Pm (0.6667, 0.3333, 0.7294)
Pm (0.7286, 0.7803, 0.2670)
Pm (0.7803, 0.0518, 0.7330)
Pm (0.9482, 0.7286, 0.7330)
Sm (0.0904, 0.4682, 0.7557)
Sm (0.3778, 0.9096, 0.7557)
Sm (0.4682, 0.3778, 0.2443)
Sm (0.5318, 0.6222, 0.7557)
Sm (0.6222, 0.0904, 0.2443)
Sm (0.9096, 0.5318, 0.2443)
Sc (0.0000, 0.0000, 0.0000)

Results
Distance to the lowest polymorph of the same formula ... 0.000 eV/atom
Fermi-level density of states ... 23.744 states/eV per cell
Energy of formation from the pure elements ... 0.148 eV per atom


The following is a DFT calculation (PBE) of a relaxed YVFe11H crystal.

abc: 6.4120 6.4120 6.4120
angles: 136.85 97.92 97.63
Fractional coordinates of all 14 atoms:
Y (0.0000, 0.0000, 0.0000)
V (0.6260, 0.6260, 0.0000)
Fe (0.2181, 0.4942, 0.7239)
Fe (0.2236, 0.7236, 0.5000)
Fe (0.3530, 0.9941, 0.3589)
Fe (0.3578, 0.3578, 0.0000)
Fe (0.4963, 0.4959, 0.5007)
Fe (0.4963, 0.9956, 0.0004)
Fe (0.6353, 0.9941, 0.6411)
Fe (0.7660, 0.2660, 0.5000)
Fe (0.7703, 0.4942, 0.2761)
Fe (0.9952, 0.4959, 0.9996)
Fe (0.9952, 0.9956, 0.4993)
H (0.9986, 0.4986, 0.5000)

Results
Fermi-level density of states ... 9.689 states/eV per cell


The following is a DFT calculation (PBE) of a relaxed SiGeAsBr2 crystal.

abc: 5.1237 5.1237 5.2838
angles: 90.00 90.00 90.00
Fractional coordinates of all 5 atoms:
Si (0.0000, 0.0000, 0.0000)
Ge (0.5000, 0.5000, 0.5000)
As (0.5000, 0.5000, 0.0000)
Br (0.0000, 0.5000, 0.5000)
Br (0.5000, 0.0000, 0.5000)

Results
Distance to the lowest polymorph of the same formula ... 0.202 eV/atom
Fermi-level density of states ... 3.310 states/eV per cell
Energy relative to the elements, uncorrected ... 0.613 eV/atom


The following is a DFT calculation (PBE) of a relaxed K3Tl9Ag2 crystal.

abc: 9.8679 9.8679 9.8679
angles: 150.33 104.96 82.70
Fractional coordinates of all 14 atoms:
K (0.0000, 0.0000, 0.0000)
K (0.3187, 0.3187, 0.0000)
K (0.6813, 0.6813, 0.0000)
Tl (0.0384, 0.6755, 0.3630)
Tl (0.1602, 0.8806, 0.2796)
Tl (0.3125, 0.6755, 0.6370)
Tl (0.3990, 0.1194, 0.2796)
Tl (0.5000, 0.0000, 0.5000)
Tl (0.6010, 0.8806, 0.7204)
Tl (0.6875, 0.3245, 0.3630)
Tl (0.8398, 0.1194, 0.7204)
Tl (0.9616, 0.3245, 0.6370)
Ag (0.2738, 0.5000, 0.7738)
Ag (0.7262, 0.5000, 0.2262)

Results
Fermi-level density of states ... 7.227 states/eV per cell
Energy of formation from the pure elements ... -0.029 eV per atom


The following is a DFT calculation (PBE) of a relaxed NaLi3Ag4F8 crystal.

abc: 6.2263 6.2263 6.7715
angles: 115.56 115.56 59.85
Fractional coordinates of all 16 atoms:
Na (0.0000, 0.0000, 0.0000)
Li (0.0000, 0.5000, 0.0000)
Li (0.5000, 0.0000, 0.0000)
Li (0.5000, 0.5000, 0.0000)
Ag (0.0000, 0.0000, 0.5000)
Ag (0.0000, 0.5000, 0.5000)
Ag (0.5000, 0.0000, 0.5000)
Ag (0.5000, 0.5000, 0.5000)
F (0.2354, 0.7093, 0.1966)
F (0.2377, 0.2377, 0.1993)
F (0.2721, 0.2721, 0.8024)
F (0.2907, 0.7646, 0.8034)
F (0.7093, 0.2354, 0.1966)
F (0.7279, 0.7279, 0.1976)
F (0.7623, 0.7623, 0.8007)
F (0.7646, 0.2907, 0.8034)

Results
Energy relative to the elements, uncorrected ... -1.900 eV/atom


Energy for every record listed, in sequence, given in eV/atom: -6.1858 -2.5283 -6.7612 -6.0974 -7.6002 -7.7883 -6.6983 -4.6952 -8.0875 -2.9941 -2.1931 -3.9895.